(one)
A geometry-optimized Ti2CuSn2 structure, computed with GGA-PBE.

The structure belongs to space group P4/mbm (No. 127); the cell edges are 6.843, 6.843 and 4.097 Å and the angles 90.00°, 90.00° and 90.00°. The asymmetric unit holds Ti at (0.160, 0.340, 0.000), Cu at (0.000, 0.000, 0.500) and Sn at (0.147, 0.647, 0.500).

The density of states at the Fermi level comes out at 10.0 states/eV per cell.

---

(two)
A geometry-optimized Ti2CuSn2 structure, computed with GGA-PBE.

The structure belongs to space group P4/mbm (No. 127); the cell edges are 6.775, 6.775 and 4.226 Å and the angles 90.00°, 90.00° and 90.00°. The asymmetric unit holds Ti at (0.140, 0.360, 0.000), Cu at (0.000, 0.000, 0.000) and Sn at (0.168, 0.668, 0.500).

The density of states at the Fermi level comes out at 5.6 states/eV per cell.

---

The structure with the least stability is (one).

---

(one)
A geometry-optimized Tl2Cu2Sn structure, computed with GGA-PBE.

The structure belongs to space group P4/mbm (No. 127); the cell edges are 7.085, 7.085 and 4.350 Å and the angles 90.00°, 90.00° and 90.00°. The asymmetric unit holds Tl at (0.168, 0.332, 0.000), Cu at (0.127, 0.627, 0.500) and Sn at (0.000, 0.000, 0.500).

The density of states at the Fermi level comes out at 3.8 states/eV per cell.

---

(two)
A geometry-optimized Tl2Cu2Sn structure, computed with GGA-PBE.

The structure belongs to space group P4/mbm (No. 127); the cell edges are 8.383, 8.383 and 3.111 Å and the angles 90.00°, 90.00° and 90.00°. The asymmetric unit holds Tl at (0.143, 0.357, 0.000), Cu at (0.154, 0.654, 0.500) and Sn at (0.000, 0.000, 0.000).

The density of states at the Fermi level comes out at 4.6 states/eV per cell.

---

The structure with the least stability is (two).

---

(one)
A geometry-optimized TlCuSn2 structure, computed with GGA-PBE.

The structure belongs to space group Fm-3m (No. 225); the cell edges are 7.324, 7.324 and 7.324 Å and the angles 90.00°, 90.00° and 90.00°. The asymmetric unit holds Tl at (0.000, 0.000, 0.000), Cu at (0.000, 0.000, 0.500) and Sn at (0.250, 0.250, 0.250).

The density of states at the Fermi level comes out at 3.3 states/eV per cell.

---

(two)
A geometry-optimized TlCuSn2 structure, computed with GGA-PBE.

The structure belongs to space group R-3m (No. 166, hexagonal axes); the cell edges are 3.4034, 3.4034 and 30.6284 Å and the angles 90.00°, 90.00° and 120.00°. The asymmetric unit holds Tl at (0.0000, 0.0000, 0.0000), Cu at (0.0000, 0.0000, 0.5000) and Sn at (0.0000, 0.0000, 0.1044).

The density of states at the Fermi level comes out at 6.8 states/eV per cell.

---

The structure with the least stability is (one).